Computed, not measured: an optimized crystal structure of CdHg2Te at the PBEsol level of DFT.

It has space group Cmm2 (No. 35), with a = 3.764 Å, b = 4.927 Å, c = 10.757 Å, α = 90.00°, β = 90.00° and γ = 90.00°. The inequivalent atoms are Cd at (0.000, 0.000, 0.000), Hg at (0.000, 0.000, 0.526), Hg at (0.000, 0.500, 0.769) and Te at (0.000, 0.500, 0.249).

The crystal system is orthorhombic. The distance to the lowest polymorph of the same formula is 33 meV per atom. The calculation puts the formation energy (no corrections) at 77 meV per atom.



Computed, not measured: an optimized crystal structure of KInTe4 at the PBEsol level of DFT.

It has space group F-43m (No. 216), with a = 9.173 Å, b = 9.173 Å, c = 9.173 Å, α = 90.00°, β = 90.00° and γ = 90.00°. The inequivalent atoms are K at (0.000, 0.000, 0.000), In at (0.250, 0.250, 0.250) and Te at (0.124, 0.124, 0.624).

The crystal system is cubic. The calculation puts the formation energy (no corrections) at -138 meV per atom.



Computed, not measured: an optimized crystal structure of Ca2TaOs at the PBEsol level of DFT.

It has space group Cm (No. 8), with a = 7.377 Å, b = 4.253 Å, c = 7.948 Å, α = 90.00°, β = 107.89° and γ = 90.00°. The inequivalent atoms are Ca at (0.000, 0.000, 0.000), Ca at (0.181, 0.000, 0.547), Ta at (0.254, 0.500, 0.262) and Os at (0.433, 0.000, 0.298).

The crystal system is monoclinic. As for the formation energy: 0.30 eV per atom.



Computed, not measured: an optimized crystal structure of PAuSeN2 at the PBEsol level of DFT.

It has space group P4/mmm (No. 123), with a = 3.713 Å, b = 3.713 Å, c = 7.122 Å, α = 90.00°, β = 90.00° and γ = 90.00°. The inequivalent atoms are P at (0.000, 0.000, 0.000), Au at (0.500, 0.500, 0.500), Se at (0.500, 0.500, 0.000) and N at (0.000, 0.500, 0.500).

The crystal system is tetragonal. The calculation puts the formation energy (no corrections) at 1753 meV per atom.



| no. | DOS at the Fermi energy (states/eV per cell) |
| --- | --- |
| 1 | 3.870 |
| 2 | 11.031 |
| 3 | 9.544 |
| 4 | 3.707 |